Material: TiOs2Au
Method: DFT, GGA-PBE
State: relaxed

```
8
Lattice="-2.127 -3.240 0.384 -0.058 -0.421 -3.872 6.599 -6.830 -1.314" Properties=species:S:1:pos:R:3 pbc="T T T"
Ti -1.093 -1.831 -1.744
Au 1.690 -5.951 -1.337
Os 4.127 -6.521 -2.527
Ti 2.724 -4.541 -3.465
Au 0.000 0.000 0.000
Os 0.441 -3.590 -0.595
Os 3.041 -8.301 -3.804
Os 1.220 -2.571 -2.677
```

- E above lowest polymorph: 247 meV/atom
- Theoretical density: 14.903 g/cm³
- ΔH_f (0 K): 513 meV/atom
- SG: No. 122
- DFT total energy: -7.895 eV/atom

Material: TiOs4Au2
Method: DFT, GGA-PBE
State: relaxed

```
7
Lattice="-4.195 -1.714 -0.012 0.777 -1.931 4.025 -3.920 3.565 5.018" Properties=species:S:1:pos:R:3 pbc="T T T"
Os 0.389 -0.965 2.013
Au -2.257 -0.488 2.753
Au -5.081 0.408 6.278
Os -2.097 -0.857 -0.006
Os -3.138 1.659 3.953
Ti 0.000 0.000 0.000
Os -4.200 -1.739 5.079
```

- Theoretical density: 14.832 g/cm³
- ΔH_f (0 K): 1857 meV/atom
- SG: No. 139
- DFT total energy: -6.625 eV/atom

Material: TiOsAu2
Method: DFT, GGA-PBE
State: relaxed

```
4
Lattice="0.000 3.212 3.212 3.212 0.000 3.212 3.212 3.212 0.000" Properties=species:S:1:pos:R:3 pbc="T T T"
Os 3.212 3.212 3.212
Au 1.606 1.606 1.606
Ti 0.000 0.000 0.000
Au 4.817 4.817 4.817
```

- E above lowest polymorph: 0 meV/atom
- Theoretical density: 15.843 g/cm³
- ΔH_f (0 K): 231 meV/atom
- SG: No. 225
- DFT total energy: -6.189 eV/atom

Material: TiOs2Au
Method: DFT, GGA-PBE
State: relaxed

```
4
Lattice="-3.560 -2.607 -0.522 -2.989 -0.361 3.268 -4.031 1.810 -0.466" Properties=species:S:1:pos:R:3 pbc="T T T"
Os -7.934 -0.868 1.710
Au -5.289 -0.579 1.140
Ti 0.000 0.000 0.000
Os -2.645 -0.289 0.570
```

- E above lowest polymorph: 0 meV/atom
- Theoretical density: 16.740 g/cm³
- ΔH_f (0 K): 266 meV/atom
- SG: No. 225
- DFT total energy: -8.142 eV/atom

Material: YTi2OsAu
Method: DFT, GGA-PBE
State: relaxed

```
5
Lattice="4.714 0.000 0.000 0.000 5.436 0.000 0.000 0.000 4.714" Properties=species:S:1:pos:R:3 pbc="T T T"
Au 2.357 2.718 2.357
Os 0.000 0.000 0.000
Ti 2.357 0.000 0.000
Ti 0.000 0.000 2.357
Y 0.000 2.718 0.000
```

- Theoretical density: 7.861 g/cm³
- ΔH_f (0 K): 240 meV/atom
- SG: No. 123
- DFT total energy: -7.112 eV/atom

Material: TlOs2Au
Method: DFT, GGA-PBE
State: relaxed

```
4
Lattice="-2.786 -0.509 -0.284 0.874 -2.452 -4.178 0.504 -4.181 2.559" Properties=species:S:1:pos:R:3 pbc="T T T"
Os 0.000 0.000 0.000
Os -0.956 -1.481 -2.231
Tl -1.141 -2.345 1.137
Au 0.689 -3.316 -0.810
```

- E above lowest polymorph: 492 meV/atom
- Theoretical density: 18.802 g/cm³
- ΔH_f (0 K): 954 meV/atom
- SG: No. 47
- DFT total energy: -6.072 eV/atom

Material: TlOs2Au
Method: DFT, GGA-PBE
State: relaxed

```
4
Lattice="6.228 0.026 -0.001 3.770 4.958 0.001 -4.414 -3.666 2.423" Properties=species:S:1:pos:R:3 pbc="T T T"
Tl 5.332 2.658 0.000
Au 1.990 1.798 1.212
Os 3.664 -0.446 1.211
Os 9.597 4.783 0.000
```

- E above lowest polymorph: 384 meV/atom
- Theoretical density: 17.402 g/cm³
- ΔH_f (0 K): 846 meV/atom
- SG: No. 44
- DFT total energy: -6.180 eV/atom

Material: TlOs2Au
Method: DFT, GGA-PBE
State: relaxed

```
4
Lattice="-1.429 -1.964 3.319 0.965 -0.671 3.941 -4.147 5.470 4.585" Properties=species:S:1:pos:R:3 pbc="T T T"
Os -4.385 2.627 11.407
Os -3.695 2.412 9.201
Tl -2.318 1.476 5.848
Au -1.129 0.570 3.157
```

- E above lowest polymorph: 219 meV/atom
- Theoretical density: 15.404 g/cm³
- ΔH_f (0 K): 681 meV/atom
- SG: No. 8
- DFT total energy: -6.344 eV/atom

Material: TlOs2Au
Method: DFT, GGA-PBE
State: relaxed

```
4
Lattice="2.880 -0.013 0.000 -1.427 2.502 0.000 0.000 0.000 9.664" Properties=species:S:1:pos:R:3 pbc="T T T"
Au 0.727 1.244 7.248
Os 0.000 0.000 9.624
Os 0.000 0.000 4.873
Tl 0.727 1.244 2.416
```

- E above lowest polymorph: 620 meV/atom
- Theoretical density: 18.694 g/cm³
- ΔH_f (0 K): 1082 meV/atom
- SG: No. 65
- DFT total energy: -5.944 eV/atom

Material: TlOsAu
Method: DFT, GGA-PBE
State: relaxed

```
3
Lattice="-2.071 -3.975 0.588 2.136 -3.369 2.126 -1.328 -1.268 4.131" Properties=species:S:1:pos:R:3 pbc="T T T"
Au -0.631 -4.306 3.422
Tl 0.000 0.000 0.000
Os -0.946 -6.459 5.134
```

- E above lowest polymorph: 179 meV/atom
- Theoretical density: 15.041 g/cm³
- ΔH_f (0 K): 1022 meV/atom
- SG: No. 216
- DFT total energy: -4.603 eV/atom

Material: TlOs2Au
Method: DFT, GGA-PBE
State: relaxed

```
4
Lattice="-2.204 -0.368 -1.755 -0.893 -3.674 1.892 -3.528 2.834 3.838" Properties=species:S:1:pos:R:3 pbc="T T T"
Os -3.382 2.717 3.679
Tl -2.431 -1.312 1.028
Os -1.910 1.535 2.078
Au -4.195 0.105 2.947
```

- E above lowest polymorph: 621 meV/atom
- Theoretical density: 18.215 g/cm³
- ΔH_f (0 K): 1083 meV/atom
- SG: No. 47
- DFT total energy: -5.943 eV/atom

Material: TlOsAu2
Method: DFT, GGA-PBE
State: relaxed

```
4
Lattice="10.073 0.039 0.023 9.627 2.962 0.023 9.627 1.467 2.573" Properties=species:S:1:pos:R:3 pbc="T T T"
Au 29.151 4.441 2.603
Os 14.802 2.255 1.322
Tl 22.128 3.371 1.976
Au 7.238 1.103 0.646
```

- E above lowest polymorph: 32 meV/atom
- Theoretical density: 17.423 g/cm³
- ΔH_f (0 K): 625 meV/atom
- SG: No. 160
- DFT total energy: -4.413 eV/atom